# ThFe3

Crystalline ThFe3 at its relaxed geometry (GGA-PBE, OQMD via LeMat-Bulk).

Summary:
For the formation energy, the calculation gives 0.2123 eV per atom. The total energy comes out at -31.49 eV/f.u. As for the space group: No. 225.

Cell lengths 4.4496, 4.4496, 4.4496 Å; angles 60.00, 60.00, 60.00 degrees
Closest atoms and distances in Å follow each position.
Atoms (fractional coordinates):
Th 0.7500 0.7500 0.7500  8 Fe 2.72
Fe 0.2500 0.2500 0.2500  8 Fe 2.72
Fe 0.5000 0.5000 0.5000  4 Fe 2.72, 4 Th 2.72
Fe 0.0000 0.0000 0.0000  4 Th 2.72, 4 Fe 2.72